VASP calculation (PBE-GGA) on a geometry-optimized Na2Bi3Pd structure.

a = 6.0783 Å, b = 16.8189 Å, c = 3.4979 Å
α = 90.00°, β = 90.00°, γ = 90.00°
With the nearest neighbours (Å) after each atom.
Space group Cmmm (No. 65)
Inequivalent atoms, fractional coordinates:
Na1 0.0000 0.1797 0.0000 (multiplicity 4)  5 Bi 3.17-3.49, 2 Na 3.50
Bi1 0.0000 0.0000 0.5000 (multiplicity 2)  2 Pd 3.04
Bi2 0.0000 0.3743 0.0000 (multiplicity 4)  2 Pd 2.74
Pd1 0.0000 0.5000 0.5000 (multiplicity 2)  6 Bi 2.74-3.04

Values from the calculation:
energy relative to the elements: -0.100 eV per atom
magnetic moment: 0.00 μB/cell